# 1
A plane-wave DFT calculation with PBE-GGA was carried out for a geometry-optimized YIn structure.

The density of states at the Fermi level comes out at 31.62 states/eV/cell. Its space group is Pm-3n, No. 223. The calculation puts the calculated volume at 52.1 A^3/atom. The calculation puts the energy of formation at 0.7180 eV per atom.

Cell: 8.550 8.550 8.550 Å, 90.00 90.00 90.00°
Atoms (fractional coordinates):
Y (0.250, 0.000, 0.500)
Y (0.750, 0.000, 0.500)
Y (0.000, 0.500, 0.250)
Y (0.000, 0.500, 0.750)
Y (0.500, 0.250, 0.000)
Y (0.500, 0.750, 0.000)
In (0.250, 0.500, 0.000)
In (0.750, 0.500, 0.000)
In (0.500, 0.000, 0.250)
In (0.500, 0.000, 0.750)
In (0.000, 0.250, 0.500)
In (0.000, 0.750, 0.500)

***

# 2
A plane-wave DFT calculation with PBE-GGA was carried out for a geometry-optimized Dy4Er5Tl structure.

The calculation puts the energy above the lowest structure with this stoichiometry at 0 meV/atom. The density of states at the Fermi level comes out at 12.95 states/eV/cell. Its space group is P4/mmm, No. 123. The calculation puts the calculated volume at 30.3 A^3/atom. The calculation puts the energy of formation at -0.0534 eV per atom.

Cell: 3.534 3.534 24.239 Å, 90.00 90.00 90.00°
Atoms (fractional coordinates):
Dy (0.000, 0.000, 0.191)
Dy (0.000, 0.000, 0.397)
Dy (0.000, 0.000, 0.603)
Dy (0.000, 0.000, 0.809)
Er (0.500, 0.500, 0.088)
Er (0.500, 0.500, 0.294)
Er (0.500, 0.500, 0.500)
Er (0.500, 0.500, 0.706)
Er (0.500, 0.500, 0.912)
Tl (0.000, 0.000, 0.000)

***

# 3
A plane-wave DFT calculation with PBE-GGA was carried out for a geometry-optimized Ca2AsPt3 structure.

The density of states at the Fermi level comes out at 2.28 states/eV/cell. Its space group is R-3m, No. 166. The calculation puts the calculated volume at 19.1 A^3/atom. The calculation puts the energy of formation at -0.9015 eV per atom.

Cell: 5.317 5.317 5.317 Å, 63.42 63.42 63.42°
Atoms (fractional coordinates):
Ca (0.376, 0.376, 0.376)
Ca (0.624, 0.624, 0.624)
As (0.000, 0.000, 0.000)
Pt (0.000, 0.000, 0.500)
Pt (0.500, 0.000, 0.000)
Pt (0.000, 0.500, 0.000)

***

# 4
A plane-wave DFT calculation with PBE-GGA was carried out for a geometry-optimized KRb2LiHg structure.

The calculation puts the energy above the lowest structure with this stoichiometry at 0 meV/atom. The density of states at the Fermi level comes out at 3.61 states/eV/cell. Its space group is P4/mmm, No. 123. The calculation puts the calculated volume at 56.7 A^3/atom. The calculation puts the energy of formation at -0.0170 eV per atom.

Cell: 7.157 7.157 5.537 Å, 90.00 90.00 90.00°
Atoms (fractional coordinates):
K (0.500, 0.500, 0.500)
Hg (0.000, 0.000, 0.000)
Rb (0.000, 0.500, 0.000)
Rb (0.500, 0.000, 0.000)
Li (0.000, 0.000, 0.500)

***

# 5
A plane-wave DFT calculation with PBE-GGA was carried out for a geometry-optimized ReHN structure.

The calculation puts the energy above the lowest structure with this stoichiometry at 21 meV/atom. The density of states at the Fermi level comes out at 3.48 states/eV/cell. Its space group is Immm, No. 71. The calculation puts the calculated volume at 9.2 A^3/atom.

Cell: 12.002 3.208 2.853 Å, 90.00 90.00 90.00°
Atoms (fractional coordinates):
Re (0.827, 0.500, 0.000)
Re (0.173, 0.500, 0.000)
Re (0.327, 0.000, 0.500)
Re (0.673, 0.000, 0.500)
H (0.113, 0.000, 0.000)
H (0.887, 0.000, 0.000)
H (0.613, 0.500, 0.500)
H (0.387, 0.500, 0.500)
N (0.552, 0.000, 0.000)
N (0.448, 0.000, 0.000)
N (0.052, 0.500, 0.500)
N (0.948, 0.500, 0.500)

***

# 6
A plane-wave DFT calculation with PBE-GGA was carried out for a geometry-optimized LiNbC2Br structure.

The density of states at the Fermi level comes out at 2.02 states/eV/cell. Its space group is P4/mmm, No. 123. Its uncorrected formation energy is 11.91 eV/f.u. The calculation puts the calculated volume at 14.5 A^3/atom.

Cell: 4.317 4.317 3.879 Å, 90.00 90.00 90.00°
Last column: magnetic moment on the atom in μB.
Atoms (fractional coordinates):
Nb (0.500, 0.500, 0.500)  1.23
C (0.000, 0.500, 0.000)  -0.10
C (0.500, 0.000, 0.000)  -0.10
Br (0.000, 0.000, 0.000)  0.00
Li (0.000, 0.000, 0.500)  0.03

***

Q: Which value of calculated volume does entry 6 give?
A: 14.5 A^3/atom

***

Q: Which of these has the highest calculated volume?
A: KRb2LiHg

***

Q: The highest calculated volume belongs to which entry?
A: KRb2LiHg